Entry 1:
A geometry-optimized Mg6BiPb5 structure, computed with PBE-GGA.

CIF file:
```
data_Mg6BiPb5
_cell_length_a 5.3616
_cell_length_b 9.2171
_cell_length_c 9.2171
_cell_angle_alpha 120.12
_cell_angle_beta 107.29
_cell_angle_gamma 107.29
_space_group_name_H-M_alt 'P 1'
_space_group_IT_number 1
loop_
_space_group_symop_operation_xyz
'x,y,z'
loop_
_atom_site_label
_atom_site_fract_x
_atom_site_fract_y
_atom_site_fract_z
Pb1 0.5000 0.8292 0.1708
Pb2 0.5000 0.5000 0.5000
Pb3 0.5000 0.1708 0.8292
Pb4 0.0000 0.6653 0.3347
Pb5 0.0000 0.3347 0.6653
Mg1 0.2476 0.0809 0.4136
Mg2 0.2476 0.4136 0.0809
Mg3 0.2540 0.7565 0.7565
Mg4 0.7460 0.2435 0.2435
Mg5 0.7524 0.5864 0.9191
Mg6 0.7524 0.9191 0.5864
Bi1 0.0000 0.0000 0.0000
```

Summary:
Raw total energy in eV/atom: -2.716
Fermi-level density of states in states/eV/cell: 5.67



Entry 2:
A geometry-optimized Pa6SbN12 structure, computed with PBE-GGA.

CIF file:
```
data_Pa6SbN12
_cell_length_a 6.6008
_cell_length_b 6.6008
_cell_length_c 6.6008
_cell_angle_alpha 99.25
_cell_angle_beta 99.25
_cell_angle_gamma 99.25
_space_group_name_H-M_alt 'P 1'
_space_group_IT_number 1
loop_
_space_group_symop_operation_xyz
'x,y,z'
loop_
_atom_site_label
_atom_site_fract_x
_atom_site_fract_y
_atom_site_fract_z
N1 0.0657 0.3134 0.9426
N2 0.8248 0.4051 0.5659
N3 0.6866 0.0574 0.9343
N4 0.5949 0.4341 0.1752
N5 0.5659 0.8248 0.4051
N6 0.9426 0.0657 0.3134
N7 0.4341 0.1752 0.5949
N8 0.0574 0.9343 0.6866
N9 0.9343 0.6866 0.0574
N10 0.3134 0.9426 0.0657
N11 0.1752 0.5949 0.4341
N12 0.4051 0.5659 0.8248
Pa1 0.4013 0.8636 0.7059
Pa2 0.5987 0.1364 0.2941
Pa3 0.8636 0.7059 0.4013
Pa4 0.1364 0.2941 0.5987
Pa5 0.7059 0.4013 0.8636
Pa6 0.2941 0.5987 0.1364
Sb1 0.0000 0.0000 0.0000
```

Summary:
Raw total energy in eV/atom: -9.793
Fermi-level density of states in states/eV/cell: 13.27
Uncorrected formation energy in eV/atom: -1.32



Entry 3:
A geometry-optimized Sr2AcTcO6 structure, computed with PBE-GGA.

CIF file:
```
data_Sr2AcTcO6
_cell_length_a 5.2605
_cell_length_b 5.8392
_cell_length_c 5.8392
_cell_angle_alpha 90.00
_cell_angle_beta 90.00
_cell_angle_gamma 90.00
_space_group_name_H-M_alt 'P 1'
_space_group_IT_number 1
loop_
_space_group_symop_operation_xyz
'x,y,z'
loop_
_atom_site_label
_atom_site_fract_x
_atom_site_fract_y
_atom_site_fract_z
O1 0.7267 0.7792 0.7792
O2 0.1253 0.5000 0.5000
O3 0.7267 0.2208 0.2208
O4 0.7267 0.7792 0.2208
O5 0.2542 0.0000 0.0000
O6 0.7267 0.2208 0.7792
Sr1 0.9977 0.5000 0.0000
Sr2 0.9977 0.0000 0.5000
Tc1 0.5868 0.0000 0.0000
Ac1 0.5780 0.5000 0.5000
```

Summary:
Raw total energy in eV/atom: -7.138
Uncorrected formation energy in eV/atom: -2.38